# CdRh2O4

Crystalline CdRh2O4 at its relaxed geometry (GGA-PBEsol, Alexandria). Values from VASP.

Geometry as Quantum ESPRESSO input:
```
&SYSTEM
  ibrav = 0, nat = 14, ntyp = 3
/
ATOMIC_SPECIES
Rh 102.91 Rh.upf
O 16.00 O.upf
Cd 112.41 Cd.upf
ATOMIC_POSITIONS crystal
Rh 0.1250 0.6250 0.1250
Rh 0.1250 0.1250 0.6250
Rh 0.6250 0.1250 0.1250
Rh 0.1250 0.1250 0.1250
O 0.9315 0.3562 0.3562
O 0.3562 0.9315 0.3562
O 0.3562 0.3562 0.9315
O 0.8938 0.3185 0.8938
O 0.8938 0.8938 0.3185
O 0.3185 0.8938 0.8938
O 0.3562 0.3562 0.3562
O 0.8938 0.8938 0.8938
Cd 0.5000 0.5000 0.5000
Cd 0.7500 0.7500 0.7500
CELL_PARAMETERS angstrom
-2.8071 -5.5236 -0.1931
3.1055 -5.1135 1.6238
-1.4148 -2.9437 5.2689
```

Values from the calculation:
E_tot in eV/cell: -88.79
Total magnetization in μB per cell: 0.00
Space group: Fd-3m
Formation energy without anion corrections in kcal/mol of atoms: -19.5